Entry 1:
First-principles (PBE-GGA) data for a geometry-optimized GdTm2Co structure, as listed in the Alexandria database.

Structure (POSCAR):
```
GdTm2Co
1.0
3.358 0.000 0.000
0.000 3.358 0.000
0.000 0.000 8.780
Gd Tm Co
1 2 1
direct
0.000 0.000 0.000
0.500 0.500 0.320
0.500 0.500 0.680
0.000 0.000 0.500
```

Calculated values
* energy above the most stable polymorph in this dataset: 0 meV per atom
* DOS at the Fermi energy: 4.7 states/eV/cell
* formation energy from the elements: -0.099 eV/atom

---

Entry 2:
First-principles (PBE-GGA) data for a geometry-optimized ZnFeBr structure, as listed in the Alexandria database.

Structure (POSCAR):
```
ZnFeBr
1.0
0.000 2.206 6.080
2.202 0.000 6.080
2.202 2.206 0.000
Zn Fe Br
1 1 1
direct
0.000 0.000 0.000
0.623 0.623 0.377
0.250 0.250 0.750
```

Calculated values
* energy above the most stable polymorph in this dataset: 97 meV per atom
* raw formation energy: 0.289 eV/atom
* DOS at the Fermi energy: 1.1 states/eV/cell

---

Entry 3:
First-principles (PBE-GGA) data for a geometry-optimized CsSr3 structure, as listed in the Alexandria database.

Structure (POSCAR):
```
CsSr3
1.0
6.323 0.000 0.000
0.000 6.323 0.000
0.000 0.000 6.323
Cs Sr
1 3
direct
0.000 0.000 0.000
0.000 0.500 0.500
0.500 0.000 0.500
0.500 0.500 0.000
```

Calculated values
* energy above the most stable polymorph in this dataset: 28 meV per atom
* DOS at the Fermi energy: 5.7 states/eV/cell
* formation energy from the elements: 0.166 eV/atom

---

Entry 4:
First-principles (PBE-GGA) data for a geometry-optimized Tb3Cu3Pt structure, as listed in the Alexandria database.

Structure (POSCAR):
```
Tb3Cu3Pt
1.0
1.974 -5.065 0.000
1.974 5.065 0.000
0.000 0.000 14.290
Tb Cu Pt
6 6 2
direct
0.047 0.953 0.750
0.331 0.669 0.593
0.331 0.669 0.907
0.669 0.331 0.093
0.669 0.331 0.407
0.953 0.047 0.250
0.244 0.756 0.250
0.387 0.613 0.105
0.387 0.613 0.395
0.613 0.387 0.605
0.613 0.387 0.895
0.756 0.244 0.750
0.000 0.000 0.000
0.000 0.000 0.500
```

Calculated values
* DOS at the Fermi energy: 9.3 states/eV/cell
* formation energy from the elements: -0.491 eV/atom

---

Calculated total energy values, unit eV per cell, following the record order: -30.52, -10.54, -5.23, -71.31.